Record 1
Below is Li2SnS3 at its PBEsol-relaxed geometry, with properties calculated at the SCAN level.

Cell and atoms, written as POSCAR:
```
Li2SnS3
1.0
-4.7625 -1.8030 -3.8207
0.9170 -4.6499 -4.2527
-5.0734 -8.8109 6.9561
S Li Sn
12 8 4
Cartesian
-6.8448 -9.5094 3.2296 S
-4.5849 -8.3970 -3.6534 S
-4.3265 -3.3559 -2.8767 S
-0.7077 -3.7197 -1.7054 S
-5.7115 -8.9291 -0.0768 S
-4.5925 -11.9079 1.7593 S
-1.8780 -4.0968 1.7565 S
-7.0410 -11.1671 -2.8739 S
-2.0742 -5.7545 -4.3469 S
-3.2075 -6.3347 -1.0406 S
-8.2113 -11.5442 0.5881 S
-4.3341 -6.8668 2.5360 S
-5.8168 -11.5374 -0.5572 Li
-1.9228 -3.2265 -4.0367 Li
-5.5747 -6.4030 0.1919 Li
-2.0782 -6.7304 1.3517 Li
-8.3146 -14.1854 0.2127 Li
-3.3442 -8.8609 -1.3093 Li
-3.1021 -3.7264 -0.5602 Li
-0.6044 -1.0785 -1.3301 Li
-4.3797 -5.8823 -3.2543 Sn
-0.9006 -6.2285 -2.1237 Sn
-4.5392 -9.3816 2.1370 Sn
-8.0184 -9.0354 1.0063 Sn
```



Record 2
Below is Li3SnS at its PBEsol-relaxed geometry, with properties calculated at the SCAN level.

Cell and atoms, written as POSCAR:
```
Li3SnS
1.0
4.5688 0.0000 0.0000
0.0000 4.5688 0.0000
0.0000 0.0000 4.5688
Li Sn S
3 1 1
Cartesian
2.2844 0.0000 0.0000 Li
0.0000 0.0000 2.2844 Li
0.0000 2.2844 0.0000 Li
2.2844 2.2844 2.2844 Sn
0.0000 0.0000 0.0000 S
```



Record 3
Below is LiSnS3 at its PBEsol-relaxed geometry, with properties calculated at the SCAN level.

Cell and atoms, written as POSCAR:
```
LiSnS3
1.0
4.4979 0.0000 0.0000
0.0000 4.4979 0.0000
0.0000 0.0000 4.4979
Li S Sn
1 3 1
Cartesian
0.0000 0.0000 0.0000 Li
2.2490 0.0000 0.0000 S
0.0000 0.0000 2.2490 S
0.0000 2.2490 0.0000 S
2.2490 2.2490 2.2490 Sn
```



Record 4
Below is SrLi2S2 at its PBEsol-relaxed geometry, with properties calculated at the SCAN level.

Cell and atoms, written as POSCAR:
```
SrLi2S2
1.0
-1.5118 -1.6104 3.0932
3.4765 -0.4302 1.4751
-1.4366 6.6656 0.4328
S Li Sr
2 2 1
Cartesian
0.8612 0.4850 3.0087 S
-0.3331 4.1399 1.9925 S
1.5111 2.6075 2.0961 Li
-0.9830 2.0174 2.9051 Li
0.0000 0.0000 0.0000 Sr
```



Record 5
Below is Li3TaS at its PBEsol-relaxed geometry, with properties calculated at the SCAN level.

Cell and atoms, written as POSCAR:
```
Li3TaS
1.0
4.5369 0.0000 0.0000
0.0000 4.5369 0.0000
0.0000 0.0000 4.5369
Li Ta S
3 1 1
Cartesian
0.0000 2.2685 0.0000 Li
2.2685 0.0000 0.0000 Li
0.0000 0.0000 2.2685 Li
2.2685 2.2685 2.2685 Ta
0.0000 0.0000 0.0000 S
```



Record 6
Below is LiTa2S at its PBEsol-relaxed geometry, with properties calculated at the SCAN level.

Cell and atoms, written as POSCAR:
```
LiTa2S
1.0
-0.8219 -3.6486 0.0575
0.8374 -0.2459 -3.6373
8.8440 -0.0125 3.9604
Ta Li S
4 2 2
Cartesian
2.6422 -1.5567 -2.1714 Ta
6.6281 -0.4942 2.5525 Ta
6.6495 -2.4455 0.7032 Ta
1.7991 -3.3177 -0.3231 Ta
4.0149 -2.8042 1.1140 Li
0.0078 -1.9473 -1.7899 Li
4.8446 -1.1028 -0.7334 S
0.0000 0.0000 0.0000 S
```



Record 7
Below is Li2Ta3S6 at its PBEsol-relaxed geometry, with properties calculated at the SCAN level.

Cell and atoms, written as POSCAR:
```
Li2Ta3S6
1.0
-3.8503 -3.8014 -1.8921
5.4184 -0.2438 -1.8539
2.9699 -7.8417 9.7115
S Li Ta
12 4 6
Cartesian
3.6611 -9.5785 6.0380 S
-1.6758 -4.8288 -1.3269 S
6.7339 -8.3999 6.0500 S
0.8826 -6.9248 0.5547 S
4.6951 -7.6441 2.9273 S
5.4506 -5.0429 4.7967 S
1.3964 -3.6487 -1.3136 S
-0.9203 -2.2276 0.5424 S
1.6402 -4.3237 2.4233 S
4.4187 -6.9774 7.9066 S
-1.4326 -5.5023 2.4113 S
2.3784 -6.2230 4.7833 S
3.0713 -3.3901 0.5612 Li
1.4667 -8.4968 5.4043 Li
2.2275 -5.8813 7.2836 Li
0.7425 -1.9604 2.4279 Li
-0.7599 -2.6176 -1.8768 Ta
0.0000 0.0000 0.0000 Ta
5.2980 -9.2693 7.8423 Ta
1.4850 -3.9208 4.8557 Ta
0.7235 -6.5344 2.9739 Ta
3.8146 -5.3526 2.9917 Ta
```



Record 8
Below is Li2TaS at its PBEsol-relaxed geometry, with properties calculated at the SCAN level.

Cell and atoms, written as POSCAR:
```
Li2TaS
1.0
-2.5420 -1.4184 -3.7254
-1.2602 -5.4496 -0.0651
-5.5456 0.2488 0.6893
S Ta Li
2 2 4
Cartesian
-4.0384 -2.9550 -0.6192 S
-1.2710 -0.7092 -1.8627 S
-5.3094 -3.6642 -2.4819 Ta
0.0000 0.0000 0.0000 Ta
-1.8587 -2.8906 -1.3811 Li
-8.1246 -4.0832 -2.6514 Li
-4.0768 -5.2595 -0.4656 Li
-4.6355 -1.0051 -1.7042 Li
```



Record 9
Below is LiTbS2 at its PBEsol-relaxed geometry, with properties calculated at the SCAN level.

Cell and atoms, written as POSCAR:
```
LiTbS2
1.0
3.8803 0.0000 0.0000
1.9402 3.3605 0.0000
1.9402 1.1202 6.0673
Tb Li S
1 1 2
Cartesian
0.0000 0.0000 0.0000 Tb
3.8803 2.2403 3.0337 Li
1.9402 1.1202 1.5391 S
5.8205 3.3605 4.5282 S
```



Record 10
Below is Li2TeS3 at its PBEsol-relaxed geometry, with properties calculated at the SCAN level.

Cell and atoms, written as POSCAR:
```
Li2TeS3
1.0
5.3119 0.0129 0.0000
-0.1827 7.6742 0.0000
0.0000 0.0000 11.3326
S Li Te
12 8 4
Cartesian
3.8006 2.8449 4.5983 S
1.2353 4.7993 10.4786 S
1.2245 0.9305 2.8665 S
3.8025 6.7248 4.8123 S
3.8939 2.8877 0.8540 S
1.1332 4.7675 2.7998 S
1.4199 1.0050 10.2647 S
3.7093 6.6820 1.0680 S
1.3267 0.9622 6.5204 S
3.9960 2.9195 8.5328 S
3.9047 6.7566 8.4661 S
1.3286 4.8421 6.7343 S
3.9253 4.8504 10.3351 Li
1.2040 2.8366 0.9975 Li
3.8239 4.9487 3.0572 Li
1.2140 6.5754 8.7235 Li
3.9152 1.1116 2.6091 Li
1.3053 2.7383 8.2754 Li
4.0166 1.0134 6.6638 Li
1.1126 6.6736 4.6688 Li
3.8137 1.3659 10.3710 Te
3.7223 5.2030 6.6279 Te
1.4069 2.4840 4.7047 Te
1.3155 6.3211 0.9616 Te
```



Record 11
Below is LiTiS3 at its PBEsol-relaxed geometry, with properties calculated at the SCAN level.

Cell and atoms, written as POSCAR:
```
LiTiS3
1.0
4.6781 0.0000 0.0000
0.0000 4.6781 0.0000
0.0000 0.0000 4.6781
Ti S Li
1 3 1
Cartesian
0.0000 0.0000 0.0000 Ti
0.0000 0.0000 2.3391 S
2.3391 0.0000 0.0000 S
0.0000 2.3391 0.0000 S
2.3391 2.3391 2.3391 Li
```



Record 12
SCAN Li8TiS6, PBEsol geometry; energy above the most stable polymorph in this dataset = 0.0 meV per atom
1.0
6.8067 0.0000 0.0000
-3.4034 5.8948 0.0000
0.0000 0.0000 13.3019
Li S Ti
16 12 2
Cartesian
-1.2831 2.2225 4.9165 Li
-1.0829 1.8756 9.7548 Li
0.0000 3.9299 1.3178 Li
0.0000 3.9299 7.9688 Li
1.0829 1.8756 3.1039 Li
2.1202 3.6723 4.9165 Li
2.1658 0.0000 9.7548 Li
2.5663 0.0000 4.9165 Li
3.4034 1.9649 1.3178 Li
-2.1202 3.6723 11.5675 Li
2.3205 4.0192 9.7548 Li
4.2404 0.0000 11.5675 Li
-2.3205 4.0192 3.1039 Li
3.4034 1.9649 7.9688 Li
1.2831 2.2225 11.5675 Li
4.6409 0.0000 3.1039 Li
2.3303 4.0361 7.3130 S
0.0000 3.9299 3.7690 S
3.4034 1.9649 3.7690 S
0.0000 3.9299 10.4200 S
2.1462 0.0000 7.3130 S
3.4034 1.9649 10.4200 S
1.0731 1.8587 0.6621 S
4.6605 0.0000 0.6621 S
0.0000 0.0000 4.3831 S
-2.3303 4.0361 0.6621 S
-1.0731 1.8587 7.3130 S
0.0000 0.0000 11.0340 S
0.0000 0.0000 0.0240 Ti
0.0000 0.0000 6.6749 Ti



Record 13
Below is LiTi3S at its PBEsol-relaxed geometry, with properties calculated at the SCAN level.

Cell and atoms, written as POSCAR:
```
LiTi3S
1.0
4.2504 0.0000 0.0000
0.0000 4.2504 0.0000
0.0000 0.0000 4.2504
Ti Li S
3 1 1
Cartesian
0.0000 2.1252 0.0000 Ti
2.1252 0.0000 0.0000 Ti
0.0000 0.0000 2.1252 Ti
0.0000 0.0000 0.0000 Li
2.1252 2.1252 2.1252 S
```



Record 14
Below is LiTi3S6 at its PBEsol-relaxed geometry, with properties calculated at the SCAN level.

Cell and atoms, written as POSCAR:
```
LiTi3S6
1.0
-1.5281 -2.6640 -1.3670
3.0380 -0.3393 1.3987
-7.4809 -3.5981 15.3751
Ti Li S
3 1 6
Cartesian
-2.4013 -1.1550 4.9353 Ti
0.0000 0.0000 0.0000 Ti
-5.0796 -2.4431 10.4398 Ti
-3.7405 -1.7991 7.6876 Li
-6.8777 -5.1942 13.6778 S
-4.1608 -3.8446 12.1439 S
0.9066 -1.4073 1.7291 S
-4.4405 -4.0220 8.6687 S
-1.5306 -2.5795 6.7381 S
-1.8103 -2.7569 3.2630 S
```



Record 15
Below is Li2Ti2S5 at its PBEsol-relaxed geometry, with properties calculated at the SCAN level.

Cell and atoms, written as POSCAR:
```
Li2Ti2S5
1.0
5.9913 0.0277 -0.0194
-2.8717 5.2583 0.0194
-1.8130 -2.4936 10.6982
S Ti Li
10 4 4
Cartesian
1.9499 2.4235 5.7796 S
-0.9634 3.3791 3.8632 S
2.2701 -0.5866 6.8350 S
-0.8603 1.5071 8.0285 S
-0.6432 0.3690 4.9185 S
-0.1486 3.6406 0.4402 S
2.6413 4.8153 1.4956 S
-1.3347 -2.0229 9.2026 S
1.4552 -0.8482 10.2579 S
2.1670 1.2853 2.6697 S
-0.2152 2.5270 10.0868 Ti
-0.2793 2.5648 5.9702 Ti
1.5860 0.2276 4.7280 Ti
1.5219 0.2655 0.6114 Ti
1.6192 3.5609 3.4890 Li
2.8742 0.9145 8.8284 Li
-1.5675 1.8780 1.8698 Li
-0.3125 -0.7684 7.2092 Li
```



Record 16
SCAN Li8TiS6, PBEsol geometry; energy above the most stable polymorph in this dataset = 51.7 meV per atom
1.0
-6.3608 -0.6823 -1.6112
-2.3402 -1.2048 9.7487
-1.9194 14.6933 1.3551
S Li Ti
24 32 4
Cartesian
-9.4181 10.9537 8.7851 S
-4.9043 1.0079 2.3689 S
-2.0292 1.4268 4.1518 S
-7.6033 8.1680 2.6058 S
-4.6364 8.5968 4.4120 S
-6.0771 11.6125 8.6276 S
-3.4533 4.8603 4.9152 S
-7.7360 9.8189 5.8801 S
-3.4246 14.3457 2.4043 S
-8.2987 7.3634 9.2911 S
-3.3781 4.4524 8.3906 S
-4.4571 12.2022 5.5816 S
-6.8108 3.7838 8.5249 S
-6.8292 6.1613 5.8053 S
-6.9858 11.9517 2.8250 S
-2.2934 3.2917 1.1502 S
-3.3677 10.6260 1.7987 S
-6.6617 2.4845 5.2316 S
-4.5111 8.1353 8.1771 S
-3.2715 6.9125 1.5224 S
-3.8181 0.7600 7.4320 S
-7.2949 0.0215 8.6247 S
-6.6761 -1.2719 4.9234 S
-6.2928 4.5764 2.0799 S
-1.9967 6.6071 3.6182 Li
-1.8386 3.8317 3.4699 Li
-4.8379 6.0072 3.3293 Li
-6.5345 9.1742 9.1589 Li
-2.8263 2.7636 6.2957 Li
-5.2278 9.9556 6.6081 Li
-8.6542 10.2727 3.5561 Li
-6.8931 12.0103 5.2960 Li
-5.3097 4.2977 6.5218 Li
-6.2897 6.5379 8.2761 Li
-8.9218 6.0457 7.1162 Li
-4.8503 3.1299 0.6255 Li
-7.2518 10.3219 0.9378 Li
-6.8549 0.9989 0.5135 Li
-5.6424 6.2474 0.4717 Li
-3.5063 11.9408 7.8993 Li
-2.6632 1.3437 -0.2365 Li
-2.7490 13.6809 4.7790 Li
-4.9586 10.9466 3.6002 Li
-7.1206 13.5385 1.0178 Li
-6.0300 1.6701 7.4263 Li
-9.1500 8.7850 7.5566 Li
-8.3786 -1.1358 6.8263 Li
-2.0082 8.8636 0.8501 Li
-4.8687 3.2291 3.5944 Li
-5.0516 8.6420 1.8910 Li
-5.4723 -1.0339 7.0693 Li
-2.7490 2.1306 9.1972 Li
-2.8014 -0.3727 5.5652 Li
-5.4462 13.6867 3.6651 Li
-7.5480 4.4905 4.2095 Li
-4.2796 6.9184 6.1114 Li
-2.6714 5.2500 0.0818 Ti
-6.5533 0.7196 3.8197 Ti
-6.8122 8.1415 4.6748 Ti
-2.9302 12.6719 0.9368 Ti



Record 17
SCAN Li8TiS6, PBEsol geometry; energy above the most stable polymorph in this dataset = 29.1 meV per atom
1.0
6.6276 0.0000 0.0000
3.3138 5.7397 0.0000
3.3138 1.9132 6.0192
S Li Ti
6 8 1
Cartesian
7.8984 1.9662 4.6379 S
7.6033 5.8571 4.6379 S
8.8741 3.9968 1.3813 S
5.3569 5.6867 1.3813 S
5.6519 1.7958 1.3813 S
4.3812 3.6561 4.6379 S
6.6276 3.8265 0.0639 Li
7.8684 1.9970 2.1617 Li
5.3868 5.6559 3.8575 Li
4.4228 3.6666 2.1617 Li
5.6636 1.8372 3.8575 Li
8.8324 3.9863 3.8575 Li
7.5916 5.8158 2.1617 Li
6.6276 3.8265 5.9553 Li
0.0000 0.0000 0.0000 Ti



Record 18
Below is Li3TlS at its PBEsol-relaxed geometry, with properties calculated at the SCAN level.

Cell and atoms, written as POSCAR:
```
Li3TlS
1.0
-4.2519 1.5879 0.8954
-1.7709 -4.1372 -1.0722
0.4327 -1.3282 4.4103
Tl Li S
1 3 1
Cartesian
-2.7950 -1.9387 2.1167 Tl
-0.8855 -2.0686 -0.5361 Li
-2.1260 0.7940 0.4477 Li
0.2164 -0.6641 2.2051 Li
0.0000 0.0000 0.0000 S
```



Listing formation energy (no corrections) for the structures above in their given order: -1.01, -0.65, 0.21, -1.80, 0.40, 0.22, -1.37, -0.04, -2.09, -0.80, -0.93, -1.51, 0.73, -1.53, -1.43, -1.46, -1.48, -0.72 eV per atom.
Listing total magnetization for the structures above in their given order: 0.0, 0.0, 2.2, 0.0, 4.0, 0.0, 0.0, 0.0, 0.0, 0.0, 0.0, 0.0, 0.0, 0.0, 0.0, 0.0, 0.0, 0.0 Bohr magnetons per cell.